(one)
CoAg2Os2 | the Alexandria database | PBE | optimized geometry; calculated density = 12.98 g cm⁻³
1.0
6.132 0.000 0.000
0.000 6.132 0.000
0.000 0.000 4.457
Co Ag Os
2 4 4
direct
0.000 0.000 0.000 Co
0.500 0.500 0.000 Co
0.175 0.325 0.500 Ag
0.325 0.825 0.500 Ag
0.675 0.175 0.500 Ag
0.825 0.675 0.500 Ag
0.135 0.635 0.000 Os
0.365 0.135 0.000 Os
0.635 0.865 0.000 Os
0.865 0.365 0.000 Os



(two)
CoAg2Os2 | the Alexandria database | PBE | optimized geometry; calculated density = 12.85 g cm⁻³
1.0
3.552 0.000 0.000
0.000 3.552 0.000
0.000 0.000 13.416
Co Ag Os
2 4 4
direct
0.000 0.000 0.000 Co
0.500 0.500 0.500 Co
0.000 0.500 0.250 Ag
0.000 0.500 0.750 Ag
0.500 0.000 0.250 Ag
0.500 0.000 0.750 Ag
0.000 0.000 0.414 Os
0.000 0.000 0.586 Os
0.500 0.500 0.086 Os
0.500 0.500 0.914 Os



Name the most stable of them. (one).



(one)
CoAgOs | the Alexandria database | PBE | optimized geometry; calculated density = 13.85 g cm⁻³
1.0
2.710 0.000 0.000
0.000 2.710 0.000
0.000 0.000 11.652
Co Ag Os
2 2 2
direct
0.000 0.000 0.000 Co
0.500 0.500 0.500 Co
0.000 0.000 0.676 Ag
0.500 0.500 0.176 Ag
0.000 0.000 0.369 Os
0.500 0.500 0.869 Os



(two)
CoAgOs | the Alexandria database | PBE | optimized geometry; calculated density = 13.73 g cm⁻³
1.0
2.714 0.000 0.000
-1.357 2.351 0.000
0.000 0.000 6.769
Co Ag Os
1 1 1
direct
0.000 0.000 0.000 Co
0.333 0.667 0.659 Ag
0.667 0.333 0.287 Os



(three)
CoAgOs | the Alexandria database | PBE | optimized geometry; calculated density = 13.40 g cm⁻³
1.0
2.791 0.000 0.000
0.000 4.547 0.000
0.000 0.000 13.947
Co Ag Os
4 4 4
direct
0.000 0.000 0.000 Co
0.000 0.500 0.500 Co
0.500 0.000 0.500 Co
0.500 0.500 0.000 Co
0.000 0.000 0.332 Ag
0.000 0.500 0.832 Ag
0.500 0.000 0.832 Ag
0.500 0.500 0.332 Ag
0.000 0.000 0.647 Os
0.000 0.500 0.147 Os
0.500 0.000 0.147 Os
0.500 0.500 0.647 Os



Name the most stable of them. (two).



(one)
Co2AgOs2 | the Alexandria database | PBE | optimized geometry; calculated density = 14.63 g cm⁻³
1.0
7.259 0.000 0.000
0.000 7.259 0.000
0.000 0.000 2.611
Co Ag Os
4 2 4
direct
0.117 0.383 0.000 Co
0.383 0.883 0.000 Co
0.617 0.117 0.000 Co
0.883 0.617 0.000 Co
0.000 0.000 0.000 Ag
0.500 0.500 0.000 Ag
0.173 0.673 0.500 Os
0.327 0.173 0.500 Os
0.673 0.827 0.500 Os
0.827 0.327 0.500 Os



(two)
Co2AgOs2 | the Alexandria database | PBE | optimized geometry; calculated density = 14.29 g cm⁻³
1.0
7.336 0.000 0.000
0.000 7.336 0.000
0.000 0.000 2.618
Co Ag Os
4 2 4
direct
0.167 0.333 0.000 Co
0.333 0.833 0.000 Co
0.667 0.167 0.000 Co
0.833 0.667 0.000 Co
0.000 0.000 0.500 Ag
0.500 0.500 0.500 Ag
0.124 0.624 0.500 Os
0.376 0.124 0.500 Os
0.624 0.876 0.500 Os
0.876 0.376 0.500 Os



Name the most stable of them. (two).



(one)
CoAg2P2 | the Alexandria database | PBE | optimized geometry; calculated density = 7.13 g cm⁻³
1.0
5.687 0.000 0.000
0.000 5.687 0.000
0.000 0.000 4.847
Co Ag P
2 4 4
direct
0.000 0.000 0.000 Co
0.500 0.500 0.000 Co
0.229 0.271 0.500 Ag
0.271 0.771 0.500 Ag
0.729 0.229 0.500 Ag
0.771 0.729 0.500 Ag
0.138 0.362 0.000 P
0.362 0.862 0.000 P
0.638 0.138 0.000 P
0.862 0.638 0.000 P



(two)
CoAg2P2 | the Alexandria database | PBE | optimized geometry; calculated density = 6.47 g cm⁻³
1.0
3.928 0.000 0.000
0.000 3.928 0.000
0.000 0.000 11.193
Co Ag P
2 4 4
direct
0.000 0.000 0.000 Co
0.500 0.500 0.500 Co
0.000 0.500 0.250 Ag
0.000 0.500 0.750 Ag
0.500 0.000 0.250 Ag
0.500 0.000 0.750 Ag
0.000 0.000 0.406 P
0.000 0.000 0.594 P
0.500 0.500 0.094 P
0.500 0.500 0.906 P



Name the most stable of them. (one).



(one)
Pa2CoAg | the Alexandria database | PBE | optimized geometry; calculated density = 11.44 g cm⁻³
1.0
3.292 0.000 0.000
-1.646 2.851 0.000
0.000 0.000 29.187
Pa Co Ag
6 3 3
direct
0.000 0.000 0.105 Pa
0.000 0.000 0.895 Pa
0.333 0.667 0.562 Pa
0.333 0.667 0.772 Pa
0.667 0.333 0.228 Pa
0.667 0.333 0.438 Pa
0.000 0.000 0.500 Co
0.333 0.667 0.167 Co
0.667 0.333 0.833 Co
0.000 0.000 0.000 Ag
0.333 0.667 0.667 Ag
0.667 0.333 0.333 Ag



(two)
Pa2CoAg | the Alexandria database | PBE | optimized geometry; calculated density = 12.99 g cm⁻³
1.0
3.079 0.000 0.000
0.000 3.079 0.000
0.000 0.000 8.477
Pa Co Ag
2 1 1
direct
0.000 0.000 0.212 Pa
0.000 0.000 0.788 Pa
0.500 0.500 0.000 Co
0.500 0.500 0.500 Ag



Name the most stable of them. (two).



(one)
Co3AgPd | the Alexandria database | PBE | optimized geometry; calculated density = 6.80 g cm⁻³
1.0
4.571 0.000 0.000
0.000 4.571 0.000
0.000 0.000 4.571
Co Ag Pd
3 1 1
direct
0.000 0.000 0.500 Co
0.000 0.500 0.000 Co
0.500 0.000 0.000 Co
0.500 0.500 0.500 Ag
0.000 0.000 0.000 Pd



(two)
Co3AgPd | the Alexandria database | PBE | optimized geometry; calculated density = 6.76 g cm⁻³
1.0
4.581 0.000 0.000
0.000 4.581 0.000
0.000 0.000 4.581
Co Ag Pd
3 1 1
direct
0.000 0.000 0.500 Co
0.000 0.500 0.000 Co
0.500 0.000 0.000 Co
0.000 0.000 0.000 Ag
0.500 0.500 0.500 Pd



Name the most stable of them. (one).



(one)
Pm4Co2Ag | the Alexandria database | PBE | optimized geometry; calculated density = 7.74 g cm⁻³
1.0
6.325 -4.301 0.000
6.325 4.301 0.000
-6.324 0.000 6.357
Pm Co Ag
8 4 2
direct
0.062 0.062 0.243 Pm
0.069 0.569 0.257 Pm
0.158 0.480 0.884 Pm
0.431 0.931 0.743 Pm
0.520 0.842 0.116 Pm
0.524 0.346 0.616 Pm
0.654 0.476 0.384 Pm
0.938 0.938 0.757 Pm
0.174 0.585 0.630 Co
0.295 0.206 0.132 Co
0.415 0.826 0.370 Co
0.794 0.705 0.868 Co
0.669 0.331 0.000 Ag
0.919 0.081 0.500 Ag



(two)
Pm4Co2Ag | the Alexandria database | PBE | optimized geometry; calculated density = 6.82 g cm⁻³
1.0
1.980 -5.272 0.000
1.980 5.272 0.000
0.000 0.000 18.785
Pm Co Ag
8 4 2
direct
0.000 0.000 0.000 Pm
0.000 0.000 0.500 Pm
0.286 0.714 0.628 Pm
0.286 0.714 0.872 Pm
0.420 0.580 0.250 Pm
0.580 0.420 0.750 Pm
0.714 0.286 0.128 Pm
0.714 0.286 0.372 Pm
0.284 0.716 0.020 Co
0.284 0.716 0.480 Co
0.716 0.284 0.520 Co
0.716 0.284 0.980 Co
0.132 0.868 0.250 Ag
0.868 0.132 0.750 Ag



Name the most stable of them. (one).



(one)
Pm6CoAg | the Alexandria database | PBE | optimized geometry; calculated density = 6.79 g cm⁻³
1.0
7.180 0.000 0.000
0.000 11.082 0.000
-2.026 0.000 6.375
Pm Co Ag
12 2 2
direct
0.198 0.183 0.243 Pm
0.198 0.817 0.243 Pm
0.249 0.500 0.211 Pm
0.251 0.000 0.789 Pm
0.302 0.317 0.757 Pm
0.302 0.683 0.757 Pm
0.698 0.317 0.243 Pm
0.698 0.683 0.243 Pm
0.749 0.000 0.211 Pm
0.751 0.500 0.789 Pm
0.802 0.183 0.757 Pm
0.802 0.817 0.757 Pm
0.000 0.000 0.000 Co
0.500 0.500 0.000 Co
0.000 0.500 0.500 Ag
0.500 0.000 0.500 Ag



(two)
Pm6CoAg | the Alexandria database | PBE | optimized geometry; calculated density = 7.42 g cm⁻³
1.0
5.134 0.000 0.000
0.000 5.134 0.000
0.000 0.000 17.605
Pm Co Ag
12 2 2
direct
0.000 0.000 0.249 Pm
0.000 0.000 0.751 Pm
0.000 0.500 0.099 Pm
0.000 0.500 0.401 Pm
0.000 0.500 0.599 Pm
0.000 0.500 0.901 Pm
0.500 0.000 0.099 Pm
0.500 0.000 0.401 Pm
0.500 0.000 0.599 Pm
0.500 0.000 0.901 Pm
0.500 0.500 0.251 Pm
0.500 0.500 0.749 Pm
0.000 0.000 0.000 Co
0.500 0.500 0.500 Co
0.000 0.000 0.500 Ag
0.500 0.500 0.000 Ag



Name the most stable of them. (two).